# Sm6ZnGa5 (PBE, optimized geometry)
data_Sm6ZnGa5
_space_group_name_H-M_alt 'P 1 2/m 1'
_space_group_IT_number 10
_cell_length_a 5.170
_cell_length_b 7.286
_cell_length_c 8.166
_cell_angle_alpha 90.00
_cell_angle_beta 108.30
_cell_angle_gamma 90.00
loop_
_space_group_symop_operation_xyz
'x,y,z'
'-x,-y,-z'
'-x,y,-z'
'x,-y,z'
loop_
_atom_site_label
_atom_site_type_symbol
_atom_site_fract_x
_atom_site_fract_y
_atom_site_fract_z
Sm1 Sm 0.000 0.249 0.000
Sm2 Sm 0.333 0.249 0.666
Zn1 Zn 0.500 0.000 0.000
Ga1 Ga 0.163 0.000 0.327
Ga2 Ga 0.166 0.500 0.333
Ga3 Ga 0.500 0.500 0.000
# Formation enthalpy at 0 K ... -0.5371 eV per atom
# VASP energy ... -4.264 eV/atom
# Crystal system ... monoclinic
# Total moment ... 0.0 μB per formula unit

***

# Sm2Zn3Ga2 (PBE, optimized geometry)
data_Sm2Zn3Ga2
_space_group_name_H-M_alt 'C 1 2/m 1'
_space_group_IT_number 12
_cell_length_a 10.601
_cell_length_b 4.394
_cell_length_c 6.572
_cell_angle_alpha 90.00
_cell_angle_beta 111.97
_cell_angle_gamma 90.00
loop_
_space_group_symop_operation_xyz
'x,y,z'
'-x,-y,-z'
'-x,y,-z'
'x,-y,z'
'x+1/2,y+1/2,z'
'-x+1/2,-y+1/2,-z'
'-x+1/2,y+1/2,-z'
'x+1/2,-y+1/2,z'
loop_
_atom_site_label
_atom_site_type_symbol
_atom_site_fract_x
_atom_site_fract_y
_atom_site_fract_z
Sm1 Sm 0.152 0.000 0.266
Zn1 Zn 0.000 0.500 0.500
Zn2 Zn 0.091 0.500 0.919
Ga1 Ga 0.150 0.000 0.755
# Formation enthalpy at 0 K ... -0.4697 eV per atom
# ΔE to the lowest computed polymorph ... 0.000 eV/atom
# VASP energy ... -3.229 eV/atom
# Crystal system ... monoclinic
# Total moment ... 0.0 μB per formula unit

***

# Sm2Zn3Ga (PBE, optimized geometry)
data_Sm2Zn3Ga
_space_group_name_H-M_alt 'P m m 2'
_space_group_IT_number 25
_cell_length_a 3.653
_cell_length_b 4.509
_cell_length_c 7.799
_cell_angle_alpha 90.00
_cell_angle_beta 90.00
_cell_angle_gamma 90.00
loop_
_space_group_symop_operation_xyz
'x,y,z'
'-x,-y,z'
'-x,y,z'
'x,-y,z'
loop_
_atom_site_label
_atom_site_type_symbol
_atom_site_fract_x
_atom_site_fract_y
_atom_site_fract_z
Sm1 Sm 0.000 0.000 0.000
Sm2 Sm 0.000 0.500 0.498
Zn1 Zn 0.500 0.000 0.669
Zn2 Zn 0.500 0.500 0.163
Zn3 Zn 0.500 0.500 0.830
Ga1 Ga 0.500 0.000 0.334
# Formation enthalpy at 0 K ... -0.4513 eV per atom
# ΔE to the lowest computed polymorph ... 0.000 eV/atom
# VASP energy ... -3.166 eV/atom
# Crystal system ... orthorhombic
# Total moment ... 0.0 μB per formula unit

***

# SmZn6Ga2 (PBE, optimized geometry)
data_SmZn6Ga2
_space_group_name_H-M_alt 'P 4/m m m'
_space_group_IT_number 123
_space_group_name_Hall '-P 4 2'
_cell_length_a 4.134
_cell_length_b 4.134
_cell_length_c 9.012
_cell_angle_alpha 90.00
_cell_angle_beta 90.00
_cell_angle_gamma 90.00
loop_
_atom_site_label
_atom_site_type_symbol
_atom_site_fract_x
_atom_site_fract_y
_atom_site_fract_z
Sm1 Sm 0.000 0.000 0.000
Zn1 Zn 0.000 0.000 0.500
Zn2 Zn 0.000 0.500 0.302
Zn3 Zn 0.500 0.500 0.500
Ga1 Ga 0.500 0.500 0.136
# Formation enthalpy at 0 K ... -0.2314 eV per atom
# VASP energy ... -2.278 eV/atom
# Crystal system ... tetragonal
# Total moment ... 0.0 μB per formula unit

***

# SmZn5Ga2 (PBE, optimized geometry)
data_SmZn5Ga2
_space_group_name_H-M_alt 'I m m m'
_space_group_IT_number 71
_space_group_name_Hall '-I 2 2'
_cell_length_a 4.023
_cell_length_b 7.215
_cell_length_c 9.794
_cell_angle_alpha 90.00
_cell_angle_beta 90.00
_cell_angle_gamma 90.00
loop_
_atom_site_label
_atom_site_type_symbol
_atom_site_fract_x
_atom_site_fract_y
_atom_site_fract_z
Sm1 Sm 0.000 0.000 0.000
Zn1 Zn 0.000 0.184 0.364
Zn2 Zn 0.000 0.500 0.000
Ga1 Ga 0.000 0.500 0.257
# Formation enthalpy at 0 K ... -0.2495 eV per atom
# VASP energy ... -2.392 eV/atom
# Crystal system ... orthorhombic
# Total moment ... 0.0 μB per formula unit

***

# Sm3Zn9Ga2 (PBE, optimized geometry)
data_Sm3Zn9Ga2
_space_group_name_H-M_alt 'I m m m'
_space_group_IT_number 71
_space_group_name_Hall '-I 2 2'
_cell_length_a 4.388
_cell_length_b 9.400
_cell_length_c 12.780
_cell_angle_alpha 90.00
_cell_angle_beta 90.00
_cell_angle_gamma 90.00
loop_
_atom_site_label
_atom_site_type_symbol
_atom_site_fract_x
_atom_site_fract_y
_atom_site_fract_z
Sm1 Sm 0.000 0.000 0.000
Sm2 Sm 0.000 0.000 0.304
Zn1 Zn 0.000 0.276 0.142
Zn2 Zn 0.000 0.366 0.340
Zn3 Zn 0.000 0.500 0.000
Ga1 Ga 0.000 0.202 0.500
# Formation enthalpy at 0 K ... -0.3596 eV per atom
# VASP energy ... -2.622 eV/atom
# Crystal system ... orthorhombic
# Total moment ... 0.0 μB per formula unit

***

# Sm2Zn3Ga (PBE, optimized geometry)
data_Sm2Zn3Ga
_space_group_name_H-M_alt 'I m m 2'
_space_group_IT_number 44
_cell_length_a 4.125
_cell_length_b 4.233
_cell_length_c 15.225
_cell_angle_alpha 90.00
_cell_angle_beta 90.00
_cell_angle_gamma 90.00
loop_
_space_group_symop_operation_xyz
'x,y,z'
'-x,-y,z'
'-x,y,z'
'x,-y,z'
'x+1/2,y+1/2,z+1/2'
'-x+1/2,-y+1/2,z+1/2'
'-x+1/2,y+1/2,z+1/2'
'x+1/2,-y+1/2,z+1/2'
loop_
_atom_site_label
_atom_site_type_symbol
_atom_site_fract_x
_atom_site_fract_y
_atom_site_fract_z
Sm1 Sm 0.000 0.000 0.000
Sm2 Sm 0.000 0.500 0.246
Zn1 Zn 0.000 0.000 0.416
Zn2 Zn 0.000 0.500 0.665
Zn3 Zn 0.000 0.500 0.829
Ga1 Ga 0.000 0.000 0.580
# Formation enthalpy at 0 K ... -0.4019 eV per atom
# ΔE to the lowest computed polymorph ... 0.049 eV/atom
# VASP energy ... -3.116 eV/atom
# Crystal system ... orthorhombic
# Total moment ... 0.0 μB per formula unit

***

# Sm4Zn5Ga2 (PBE, optimized geometry)
data_Sm4Zn5Ga2
_space_group_name_H-M_alt 'P 1 2/m 1'
_space_group_IT_number 10
_cell_length_a 7.089
_cell_length_b 3.860
_cell_length_c 9.142
_cell_angle_alpha 90.00
_cell_angle_beta 93.82
_cell_angle_gamma 90.00
loop_
_space_group_symop_operation_xyz
'x,y,z'
'-x,-y,-z'
'-x,y,-z'
'x,-y,z'
loop_
_atom_site_label
_atom_site_type_symbol
_atom_site_fract_x
_atom_site_fract_y
_atom_site_fract_z
Sm1 Sm 0.184 0.000 0.379
Sm2 Sm 0.267 0.000 0.930
Zn1 Zn 0.194 0.500 0.656
Zn2 Zn 0.440 0.500 0.206
Zn3 Zn 0.500 0.500 0.500
Ga1 Ga 0.063 0.500 0.136
# Formation enthalpy at 0 K ... -0.3363 eV per atom
# VASP energy ... -3.182 eV/atom
# Crystal system ... monoclinic
# Total moment ... 0.0 μB per formula unit

***

One value per record, in order, for N(E_F): 6.72 7.28 5.51 1.93 5.20 14.66 12.97 7.52 states/eV/cell.